First-principles (GGA-PBE) data for Pm12YSc6 after structural relaxation, as listed in Alexandria.

As for the size of the total moment: 0.00 Bohr magnetons per cell. As for the energy of formation from the pure elements: 0.234 eV per atom.

It has space group Im-3 (No. 204), with a = 10.6293 Å, b = 10.6293 Å, c = 10.6293 Å, α = 90.00°, β = 90.00° and γ = 90.00°. The inequivalent atoms are Pm at (0.0000, 0.1988, 0.2687), Y at (0.0000, 0.0000, 0.0000) and Sc at (0.0000, 0.3622, 0.5000).